[1]
This record from Alexandria describes crystalline Th3Te8Pb2 at its relaxed geometry. The functional is PBE-GGA.

The structure in POSCAR format:
```
Th3Te8Pb2
1.0
8.0894 -4.5386 0.0000
8.0894 4.5386 0.0000
-2.4079 0.0000 7.4377
Th Te Pb
3 8 2
Direct
0.0000 0.0000 0.0000
0.2619 0.7381 0.5000
0.7381 0.2619 0.5000
0.1140 0.1140 0.4061
0.1251 0.6412 0.0938
0.3588 0.8749 0.9062
0.3842 0.3842 0.5804
0.6158 0.6158 0.4196
0.6412 0.1251 0.0938
0.8749 0.3588 0.9062
0.8860 0.8860 0.5939
0.2406 0.2406 0.8274
0.7594 0.7594 0.1726
```

Space-group type: C2/m, No. 12
Uncorrected energy, eV per atom: -5.096
Calculated density, Mg/m³: 6.48


[2]
This record from Alexandria describes crystalline ThTePb at its relaxed geometry. The functional is PBE-GGA.

The structure in POSCAR format:
```
ThTePb
1.0
-2.2199 2.2199 9.3883
2.2199 -2.2199 9.3883
2.2199 2.2199 -9.3883
Th Te Pb
2 2 2
Direct
0.1366 0.1366 0.0000
0.8634 0.8634 0.0000
0.3125 0.3125 0.0000
0.6875 0.6875 0.0000
0.0000 0.5000 0.5000
0.5000 0.0000 0.5000
```

Space-group type: I4/mmm, No. 139
Uncorrected energy, eV per atom: -5.592
Calculated density, Mg/m³: 10.17


[3]
This record from Alexandria describes crystalline Th2Tl3Te6Pb at its relaxed geometry. The functional is PBE-GGA.

The structure in POSCAR format:
```
Th2Tl3Te6Pb
1.0
10.4881 -2.2531 0.0000
10.4881 2.2531 0.0000
-3.0876 0.0000 9.3955
Th Tl Te Pb
2 3 6 1
Direct
0.1682 0.1682 0.3408
0.8318 0.8318 0.6592
0.1608 0.1608 0.8394
0.5000 0.5000 0.5000
0.8392 0.8392 0.1606
0.0127 0.0127 0.2461
0.3276 0.3276 0.4270
0.3341 0.3341 0.8873
0.6659 0.6659 0.1127
0.6724 0.6724 0.5730
0.9873 0.9873 0.7539
0.5000 0.5000 0.0000
```

Space-group type: C2/m, No. 12
Uncorrected energy, eV per atom: -4.446
Calculated density, Mg/m³: 7.67


[4]
This record from Alexandria describes crystalline ThTl3Te6Pb2 at its relaxed geometry. The functional is PBE-GGA.

The structure in POSCAR format:
```
ThTl3Te6Pb2
1.0
4.0353 -6.9757 0.0000
4.0353 6.9757 0.0000
-2.6895 0.0000 7.8030
Th Tl Te Pb
1 3 6 2
Direct
0.0000 0.0000 0.0000
0.1690 0.8310 0.5000
0.5000 0.5000 0.5000
0.8310 0.1690 0.5000
0.0755 0.3968 0.2278
0.2414 0.2414 0.7668
0.3968 0.0755 0.2278
0.6032 0.9245 0.7722
0.7586 0.7586 0.2332
0.9245 0.6032 0.7722
0.3345 0.6655 0.0000
0.6655 0.3345 0.0000
```

Space-group type: C2/m, No. 12
Uncorrected energy, eV per atom: -3.957
Calculated density, Mg/m³: 7.66


[5]
This record from Alexandria describes crystalline TmThTePb at its relaxed geometry. The functional is PBE-GGA.

The structure in POSCAR format:
```
TmThTePb
1.0
0.0000 3.8430 3.8430
3.8430 0.0000 3.8430
3.8430 3.8430 0.0000
Tm Th Te Pb
1 1 1 1
Direct
0.0000 0.0000 0.0000
0.5000 0.5000 0.5000
0.7500 0.7500 0.7500
0.2500 0.2500 0.2500
```

Space-group type: F-43m, No. 216
Uncorrected energy, eV per atom: -5.299
Calculated density, Mg/m³: 10.76


[6]
This record from Alexandria describes crystalline YThTePb at its relaxed geometry. The functional is PBE-GGA.

The structure in POSCAR format:
```
YThTePb
1.0
0.0000 3.8636 3.8636
3.8636 0.0000 3.8636
3.8636 3.8636 0.0000
Y Th Te Pb
1 1 1 1
Direct
0.0000 0.0000 0.0000
0.5000 0.5000 0.5000
0.2500 0.2500 0.2500
0.7500 0.7500 0.7500
```

Space-group type: F-43m, No. 216
Uncorrected energy, eV per atom: -5.847
Calculated density, Mg/m³: 9.44


[7]
This record from Alexandria describes crystalline Ti2TePb at its relaxed geometry. The functional is PBE-GGA.

The structure in POSCAR format:
```
Ti2TePb
1.0
-3.0713 3.0713 6.7333
3.0713 -3.0713 6.7333
3.0713 3.0713 -6.7333
Ti Te Pb
4 2 2
Direct
0.1228 0.6250 0.9978
0.3750 0.3728 0.4978
0.6272 0.1250 0.0022
0.8750 0.8772 0.5022
0.0000 0.0000 0.0000
0.7500 0.2500 0.5000
0.2500 0.7500 0.5000
0.5000 0.5000 0.0000
```

Distance to the lowest polymorph of the same formula, eV per atom: 0.4393
Space-group type: I-42d, No. 122
Uncorrected energy, eV per atom: -5.243
Calculated density, Mg/m³: 5.63


[8]
This record from Alexandria describes crystalline TiTe3Pb at its relaxed geometry. The functional is PBE-GGA.

The structure in POSCAR format:
```
TiTe3Pb
1.0
5.3940 0.0000 0.0000
0.0000 5.3940 0.0000
0.0000 0.0000 5.3940
Ti Te Pb
1 3 1
Direct
0.0000 0.0000 0.0000
0.0000 0.0000 0.5000
0.0000 0.5000 0.0000
0.5000 0.0000 0.0000
0.5000 0.5000 0.5000
```

Distance to the lowest polymorph of the same formula, eV per atom: 0.0000
Space-group type: Pm-3m, No. 221
Uncorrected energy, eV per atom: -4.382
Calculated density, Mg/m³: 6.75